Re2Sb, relaxed, DFT PBE-GGA; Fermi-level density of states = 0.44 states/eV per atom; energy above the lowest structure with this stoichiometry = 0.633 eV/f.u.; crystal system = monoclinic
1.0
4.9088 -1.5337 0.0000
4.9088 1.5337 0.0000
-2.0017 0.0000 6.8541
Re Sb
4 2
Cartesian
1.4250 0.0000 0.2139
0.8424 0.0000 4.4657
6.9735 0.0000 2.3884
6.3909 0.0000 6.6402
3.4523 0.0000 4.9255
4.3635 0.0000 1.9287

---

VRu2C, relaxed, DFT PBE-GGA; ΔH_f (0 K) = 571 meV/atom; Fermi-level density of states = 0.66 states/eV per atom; crystal system = tetragonal
1.0
-2.6247 2.6247 4.3222
2.6247 -2.6247 4.3222
2.6247 2.6247 -4.3222
V Ru C
2 4 2
Cartesian
0.0000 0.0000 0.0000
0.0000 2.6247 2.1611
1.3123 -0.9414 3.2416
1.6833 1.3123 1.0805
1.3123 3.5660 -1.0805
0.9414 1.3123 5.4027
2.6247 0.0000 2.1611
0.0000 0.0000 4.3222

---

BaUPaO6, relaxed, DFT PBE-GGA; crystal system = trigonal
1.0
6.0219 0.0000 0.0000
-3.0110 5.2151 0.0000
0.0000 0.0000 10.8604
Ba U Pa O
2 2 2 12
Cartesian
0.0000 0.0000 0.0000
0.0000 0.0000 5.4302
0.0000 3.4768 2.7151
3.0110 1.7384 8.1453
0.0000 3.4768 8.1453
3.0110 1.7384 2.7151
-1.1183 1.9741 1.6259
-1.8605 3.2596 3.8043
1.1183 1.9741 3.8043
-0.7422 5.1966 1.6259
2.2687 0.0185 7.0561
1.1504 1.9555 9.2345
1.8605 3.2596 1.6259
0.7422 5.1966 3.8043
3.7532 0.0185 9.2345
1.8926 3.2411 7.0561
4.8715 1.9555 7.0561
4.1293 3.2411 9.2345

---

Taking the records one at a time from the top gives raw total energy values of -0.3403; -0.3180; -0.3374 hartree per atom.